Compound: ReRhICl2
Source: Alexandria via LeMat-Bulk
Functional: PBE
Structure: optimized geometry

Lattice parameters (Å, degrees): 6.5658 3.1436 6.7476 90.00 116.22 90.00
Sites, in units of the cell vectors:
Re1 0.0000 0.0000 0.0000
Rh1 0.2433 0.5000 0.8743
I1 0.6111 0.0000 0.0692
Cl1 0.1664 0.5000 0.3035
Cl2 0.8136 0.5000 0.6828

Computed properties:
- SG: Pm (6)
- Uncorrected energy: -23.873 eV per cell
- Mass density: 6.47 Mg/m³
- Formation energy without anion corrections: 1.2 eV per formula unit


Compound: ReRhICl2
Source: Alexandria via LeMat-Bulk
Functional: PBE
Structure: optimized geometry

Lattice parameters (Å, degrees): 3.8090 4.5554 7.7912 90.00 102.91 90.00
Sites, in units of the cell vectors:
Re1 0.0000 0.0000 0.0000
Rh1 0.4111 0.0000 0.8053
I1 0.3327 0.5000 0.6316
Cl1 0.0349 0.5000 0.0769
Cl2 0.6041 0.0000 0.2282

Computed properties:
- SG: Pm (6)
- Uncorrected energy: -24.600 eV per cell
- Mass density: 6.14 Mg/m³
- Formation energy without anion corrections: 0.4 eV per formula unit


Compound: ReRhICl2
Source: Alexandria via LeMat-Bulk
Functional: PBE
Structure: optimized geometry

Lattice parameters (Å, degrees): 3.2541 6.1753 7.1268 66.22 84.83 78.79
Sites, in units of the cell vectors:
Re1 0.0000 0.0000 0.0000
Rh1 0.4021 0.1734 0.1851
I1 0.1635 0.6060 0.9170
Cl1 0.4933 0.1595 0.7270
Cl2 0.8178 0.7823 0.3545

Computed properties:
- SG: P1 (1)
- Uncorrected energy: -23.954 eV per cell
- Mass density: 6.29 Mg/m³
- Formation energy without anion corrections: 1.1 eV per formula unit


Compound: ReRhICl2
Source: Alexandria via LeMat-Bulk
Functional: PBE
Structure: optimized geometry

Lattice parameters (Å, degrees): 3.9768 5.5424 6.1672 75.59 77.31 79.44
Sites, in units of the cell vectors:
Re1 0.0000 0.0000 0.0000
Rh1 0.6347 0.8153 0.8501
I1 0.9704 0.7307 0.4104
Cl1 0.3503 0.2000 0.6659
Cl2 0.6921 0.3848 0.0737

Computed properties:
- SG: P1 (1)
- Uncorrected energy: -24.108 eV per cell
- Mass density: 6.35 Mg/m³
- Formation energy without anion corrections: 0.9 eV per formula unit


Compound: ReSICl2
Source: Alexandria via LeMat-Bulk
Functional: PBE
Structure: optimized geometry

Lattice parameters (Å, degrees): 4.8849 4.8849 4.6294 90.00 90.00 90.00
Sites, in units of the cell vectors:
Re1 0.0000 0.0000 0.0000
S1 0.0000 0.0000 0.5000
I1 0.5000 0.5000 0.5000
Cl1 0.0000 0.5000 0.0000
Cl2 0.5000 0.0000 0.0000

Computed properties:
- SG: P4/mmm (123)
- Uncorrected energy: -20.606 eV per cell
- Mass density: 6.25 Mg/m³
- Formation energy without anion corrections: 1.2 eV per formula unit


Compound: ReSICl2
Source: Alexandria via LeMat-Bulk
Functional: PBE
Structure: optimized geometry

Lattice parameters (Å, degrees): 5.5040 5.5040 5.1890 90.00 90.00 90.00
Sites, in units of the cell vectors:
Re1 0.0000 0.0000 0.0000
S1 0.5000 0.5000 0.0000
I1 0.5000 0.5000 0.5000
Cl1 0.0000 0.5000 0.5000
Cl2 0.5000 0.0000 0.5000

Computed properties:
- SG: P4/mmm (123)
- Uncorrected energy: -14.612 eV per cell
- Mass density: 4.40 Mg/m³
- Formation energy without anion corrections: 7.2 eV per formula unit


Compound: ReSbI2Cl
Source: Alexandria via LeMat-Bulk
Functional: PBE
Structure: optimized geometry

Lattice parameters (Å, degrees): 5.5154 5.5154 5.6853 90.00 90.00 90.00
Sites, in units of the cell vectors:
Re1 0.0000 0.0000 0.0000
Sb1 0.5000 0.5000 0.0000
I1 0.0000 0.5000 0.5000
I2 0.5000 0.0000 0.5000
Cl1 0.5000 0.5000 0.5000

Computed properties:
- SG: P4/mmm (123)
- Uncorrected energy: -13.186 eV per cell
- Mass density: 5.73 Mg/m³
- Formation energy without anion corrections: 8.3 eV per formula unit


Compound: ReSbI2Cl
Source: Alexandria via LeMat-Bulk
Functional: PBE
Structure: optimized geometry

Lattice parameters (Å, degrees): 5.4387 5.4387 5.1992 90.00 90.00 90.00
Sites, in units of the cell vectors:
Re1 0.0000 0.0000 0.0000
Sb1 0.0000 0.0000 0.5000
I1 0.0000 0.5000 0.0000
I2 0.5000 0.0000 0.0000
Cl1 0.5000 0.5000 0.5000

Computed properties:
- SG: P4/mmm (123)
- Uncorrected energy: -18.806 eV per cell
- Mass density: 6.45 Mg/m³
- Formation energy without anion corrections: 2.7 eV per formula unit


Compound: ReTeI2Cl
Source: Alexandria via LeMat-Bulk
Functional: PBE
Structure: optimized geometry

Lattice parameters (Å, degrees): 5.5012 5.5012 5.1216 90.00 90.00 90.00
Sites, in units of the cell vectors:
Re1 0.0000 0.0000 0.0000
Te1 0.0000 0.0000 0.5000
I1 0.0000 0.5000 0.0000
I2 0.5000 0.0000 0.0000
Cl1 0.5000 0.5000 0.5000

Computed properties:
- SG: P4/mmm (123)
- Uncorrected energy: -17.934 eV per cell
- Mass density: 6.46 Mg/m³
- Formation energy without anion corrections: 2.6 eV per formula unit


Compound: ReTe2ICl
Source: Alexandria via LeMat-Bulk
Functional: PBE
Structure: optimized geometry

Lattice parameters (Å, degrees): 5.1767 5.1767 5.6030 90.00 90.00 90.00
Sites, in units of the cell vectors:
Re1 0.0000 0.0000 0.0000
Te1 0.0000 0.5000 0.0000
Te2 0.5000 0.0000 0.0000
I1 0.0000 0.0000 0.5000
Cl1 0.5000 0.5000 0.5000

Computed properties:
- SG: P4/mmm (123)
- Uncorrected energy: -19.677 eV per cell
- Mass density: 6.68 Mg/m³
- Formation energy without anion corrections: 2.5 eV per formula unit


Compound: ReTe2ICl
Source: Alexandria via LeMat-Bulk
Functional: PBE
Structure: optimized geometry

Lattice parameters (Å, degrees): 5.5096 5.5096 5.4540 90.00 90.00 90.00
Sites, in units of the cell vectors:
Re1 0.0000 0.0000 0.0000
Te1 0.0000 0.5000 0.5000
Te2 0.5000 0.0000 0.5000
I1 0.5000 0.5000 0.0000
Cl1 0.5000 0.5000 0.5000

Computed properties:
- SG: P4/mmm (123)
- Uncorrected energy: -13.595 eV per cell
- Mass density: 6.06 Mg/m³
- Formation energy without anion corrections: 8.5 eV per formula unit


Compound: ReTeI2Cl
Source: Alexandria via LeMat-Bulk
Functional: PBE
Structure: optimized geometry

Lattice parameters (Å, degrees): 5.5469 5.5469 5.7642 90.00 90.00 90.00
Sites, in units of the cell vectors:
Re1 0.0000 0.0000 0.0000
Te1 0.5000 0.5000 0.0000
I1 0.0000 0.5000 0.5000
I2 0.5000 0.0000 0.5000
Cl1 0.5000 0.5000 0.5000

Computed properties:
- SG: P4/mmm (123)
- Uncorrected energy: -12.474 eV per cell
- Mass density: 5.65 Mg/m³
- Formation energy without anion corrections: 8.1 eV per formula unit